Arrangement a

DFT (PBE) results for an optimized crystal structure of B10H13I.

a = 7.3468 Å, b = 14.9669 Å, c = 10.9254 Å
α = 90.00°, β = 116.73°, γ = 90.00°
Space group P2_1/c (No. 14)
One atom of each set of equivalent atoms:
B 0.0080 0.0743 0.2432 [4 per cell]
B 0.0111 0.6306 0.4023 [4 per cell]
B 0.0169 0.7491 0.3989 [4 per cell]
B 0.0291 0.2122 0.7606 [4 per cell]
B 0.1488 0.1866 0.2490 [4 per cell]
B 0.2285 0.7219 0.8676 [4 per cell]
B 0.2287 0.5836 0.2489 [4 per cell]
B 0.2321 0.5788 0.4077 [4 per cell]
B 0.2481 0.6879 0.4754 [4 per cell]
B 0.3708 0.6660 0.3736 [4 per cell]
H 0.0348 0.6030 0.1578 [4 per cell]
H 0.0392 0.2077 0.5324 [4 per cell]
H 0.0749 0.0945 0.0411 [4 per cell]
H 0.1107 0.0097 0.2896 [4 per cell]
H 0.1106 0.2195 0.3480 [4 per cell]
H 0.1122 0.1463 0.8203 [4 per cell]
H 0.1484 0.7171 0.7321 [4 per cell]
H 0.2937 0.6666 0.2382 [4 per cell]
H 0.3094 0.5167 0.4811 [4 per cell]
H 0.3300 0.1833 0.2990 [4 per cell]
H 0.3313 0.6565 0.9068 [4 per cell]
H 0.3616 0.6996 0.5940 [4 per cell]
H 0.4494 0.1695 0.0863 [4 per cell]
I 0.3496 0.0082 0.6526 [4 per cell]

- Calculated volume: 11.18 Å³/atom
- Size of the total moment: 0.000 μB/cell



Arrangement b

DFT (PBE) results for an optimized crystal structure of B10H13I.

a = 14.2639 Å, b = 12.2009 Å, c = 14.5136 Å
α = 90.00°, β = 120.32°, γ = 90.00°
Space group P2_1/c (No. 14)
One atom of each set of equivalent atoms:
B 0.0017 0.1465 0.3345 [4 per cell]
B 0.0049 0.1371 0.1168 [4 per cell]
B 0.0216 0.0087 0.1728 [4 per cell]
B 0.0273 0.0181 0.2975 [4 per cell]
B 0.0814 0.1252 0.2582 [4 per cell]
B 0.0936 0.0273 0.8165 [4 per cell]
B 0.0995 0.5408 0.2108 [4 per cell]
B 0.1119 0.5536 0.4240 [4 per cell]
B 0.1394 0.6752 0.2448 [4 per cell]
B 0.1916 0.5745 0.3474 [4 per cell]
B 0.3053 0.2054 0.6604 [4 per cell]
B 0.3567 0.1924 0.1102 [4 per cell]
B 0.3896 0.1781 0.8149 [4 per cell]
B 0.3922 0.1728 0.6087 [4 per cell]
B 0.4010 0.1003 0.7195 [4 per cell]
B 0.4194 0.7475 0.6812 [4 per cell]
B 0.4794 0.6442 0.7779 [4 per cell]
B 0.4798 0.6307 0.6564 [4 per cell]
B 0.4906 0.7422 0.1105 [4 per cell]
B 0.4966 0.2245 0.1651 [4 per cell]
H 0.0315 0.2104 0.1954 [4 per cell]
H 0.0360 0.1732 0.0608 [4 per cell]
H 0.0508 0.7320 0.2264 [4 per cell]
H 0.0528 0.1820 0.4227 [4 per cell]
H 0.0717 0.5602 0.6580 [4 per cell]
H 0.1013 0.6612 0.4291 [4 per cell]
H 0.1229 0.0088 0.6546 [4 per cell]
H 0.1280 0.1186 0.8388 [4 per cell]
H 0.1632 0.5245 0.5146 [4 per cell]
H 0.1752 0.1493 0.3059 [4 per cell]
H 0.1837 0.6827 0.3512 [4 per cell]
H 0.1909 0.7336 0.2213 [4 per cell]
H 0.2099 0.1896 0.6171 [4 per cell]
H 0.2867 0.5562 0.3957 [4 per cell]
H 0.3047 0.1313 0.0383 [4 per cell]
H 0.3166 0.1870 0.1762 [4 per cell]
H 0.3250 0.7313 0.1380 [4 per cell]
H 0.3405 0.1478 0.8565 [4 per cell]
H 0.3641 0.0098 0.7053 [4 per cell]
H 0.3642 0.1263 0.5266 [4 per cell]
H 0.4037 0.2151 0.3348 [4 per cell]
H 0.4300 0.5591 0.5954 [4 per cell]
H 0.4477 0.1389 0.1793 [4 per cell]
H 0.4541 0.6874 0.3737 [4 per cell]
H 0.4550 0.7088 0.0221 [4 per cell]
H 0.4651 0.6674 0.1624 [4 per cell]
I 0.1463 0.5836 0.9296 [4 per cell]
I 0.3662 0.5425 0.8011 [4 per cell]

- Calculated volume: 11.36 Å³/atom
- Size of the total moment: 0.000 μB/cell



What should be chosen as the least stable of them? Choose arrangement a.